LiV2Ru | PBE-GGA | optimized geometry

Unit cell a=3.019 b=3.019 c=5.753 alpha=90.00 beta=90.00 gamma=90.00
Sites, in units of the cell vectors:
Li 0.000 0.000 0.000
V 0.500 0.500 0.240
V 0.500 0.500 0.760
Ru 0.000 0.000 0.500

***

Li2VRu | PBE-GGA | optimized geometry

Unit cell a=3.442 b=3.442 c=19.642 alpha=90.00 beta=90.00 gamma=90.00
Sites, in units of the cell vectors:
Li 0.239 0.250 0.125
Li 0.250 0.739 0.375
Li 0.250 0.761 0.875
Li 0.261 0.250 0.625
Li 0.739 0.750 0.625
Li 0.750 0.239 0.875
Li 0.750 0.261 0.375
Li 0.761 0.750 0.125
V 0.000 0.000 0.500
V 0.000 0.500 0.750
V 0.500 0.000 0.250
V 0.500 0.500 0.000
Ru 0.000 0.000 0.000
Ru 0.000 0.500 0.250
Ru 0.500 0.000 0.750
Ru 0.500 0.500 0.500

## Properties
* relative energy among the computed polymorphs: 0 meV/atom

***

Number 1: ΔE_f 0.189 eV per atom, M_tot 0.62 μB per formula unit. Number 2: ΔE_f 0.282 eV per atom, M_tot 0.94 μB per formula unit.